Below is a geometry-optimized ScBeTl2 structure, with properties calculated at the PBE level.

abc: 9.2375 9.2375 9.2375
angles: 20.90 20.90 20.90
Closest atoms and distances in Å follow each position.
Sites, in units of the cell vectors:
Tl 0.9900 0.9900 0.9900  3 Be 2.77
Tl 0.5100 0.5100 0.5100  3 Be 2.77
Be 0.2500 0.2500 0.2500  6 Tl 2.77
Sc 0.7500 0.7500 0.7500  6 Tl 3.18, 6 Sc 3.35

Output
Its crystal system is trigonal. The space group is R-3m. For the formation energy, the calculation gives 1.32 eV/f.u. Its size of the total moment is 0.00 Bohr magnetons per cell. The calculation puts the total energy at -13.47 eV per cell.



Below is a geometry-optimized ScBeTl3 structure, with properties calculated at the PBE level.

abc: 4.9735 4.9735 4.9735
angles: 90.00 90.00 90.00
Closest atoms and distances in Å follow each position.
Sites, in units of the cell vectors:
Tl 0.0000 0.0000 0.5000  2 Be 2.49
Tl 0.5000 0.0000 0.0000  2 Be 2.49
Tl 0.0000 0.5000 0.0000  2 Be 2.49
Sc 0.5000 0.5000 0.5000  12 Tl 3.52
Be 0.0000 0.0000 0.0000  6 Tl 2.49

Output
Its crystal system is cubic. The polymorph energy (0 for the lowest one) comes out at 0.000 eV/atom. The space group is Pm-3m. For the formation energy, the calculation gives 1.88 eV/f.u. Its size of the total moment is 0.00 Bohr magnetons per cell. The calculation puts the total energy at -15.28 eV per cell.



Below is a geometry-optimized ScBeTl2 structure, with properties calculated at the PBE level.

abc: 4.7094 4.7094 5.8734
angles: 76.38 76.38 43.27
Closest atoms and distances in Å follow each position.
Sites, in units of the cell vectors:
Sc 0.2500 0.2500 0.2500  6 Tl 2.94-3.05
Be 0.7500 0.7500 0.7500  6 Tl 2.73-2.94
Tl 0.0177 0.0177 0.9666  3 Be 2.73-2.94, 3 Sc 2.94-3.05
Tl 0.4823 0.4823 0.5334  3 Be 2.73-2.94, 3 Sc 2.94-3.05

Output
Its crystal system is monoclinic. The space group is C2/m. For the formation energy, the calculation gives 0.99 eV/f.u. Its size of the total moment is 0.00 Bohr magnetons per cell. The calculation puts the total energy at -13.80 eV per cell.



Below is a geometry-optimized ScBe2Tl structure, with properties calculated at the PBE level.

abc: 4.0796 4.0796 5.1368
angles: 66.61 66.61 60.04
Closest atoms and distances in Å follow each position.
Sites, in units of the cell vectors:
Sc 0.7500 0.7500 0.7500  8 Be 2.87-2.92
Tl 0.2500 0.2500 0.2500  6 Be 2.44
Be 0.5371 0.5371 0.3899  3 Tl 2.44, 3 Be 2.67-2.68
Be 0.9629 0.9629 0.1101  3 Tl 2.44, 3 Be 2.67-2.68

Output
Its crystal system is trigonal. The polymorph energy (0 for the lowest one) comes out at 0.185 eV/atom. The space group is R-3m. For the formation energy, the calculation gives 0.99 eV/f.u. Its size of the total moment is 0.00 Bohr magnetons per cell. The calculation puts the total energy at -15.16 eV per cell.



Below is a geometry-optimized ScBeTl4 structure, with properties calculated at the PBE level.

abc: 6.1975 6.1975 6.1975
angles: 60.00 60.00 60.00
Closest atoms and distances in Å follow each position.
Sites, in units of the cell vectors:
Tl 0.3751 0.3751 0.8746  6 Tl 3.10
Tl 0.3751 0.8746 0.3751  6 Tl 3.10
Tl 0.3751 0.3751 0.3751  6 Tl 3.10
Tl 0.8746 0.3751 0.3751  6 Tl 3.10
Be 0.7500 0.7500 0.7500  12 Tl 3.63, 4 Sc 3.80
Sc 0.0000 0.0000 0.0000  12 Tl 3.63, 4 Be 3.80

Output
Its crystal system is cubic. The space group is F-43m. For the formation energy, the calculation gives 3.93 eV/f.u. Its size of the total moment is 0.48 Bohr magnetons per cell. The calculation puts the total energy at -15.59 eV per cell.



Below is a geometry-optimized ScBe2Tl structure, with properties calculated at the PBE level.

abc: 5.5871 5.5871 5.5871
angles: 140.31 139.93 57.67
Closest atoms and distances in Å follow each position.
Sites, in units of the cell vectors:
Be 0.8182 0.3182 0.5000  2 Be 2.15
Be 0.9220 0.9220 0.0000  2 Be 2.15
Sc 0.5130 0.5130 0.0000  6 Be 2.70-2.84, 2 Tl 2.98
Tl 0.2468 0.7468 0.5000  6 Be 2.57-2.78

Output
Its crystal system is orthorhombic. The polymorph energy (0 for the lowest one) comes out at 0.225 eV/atom. The space group is Imm2. For the formation energy, the calculation gives 1.15 eV/f.u. Its size of the total moment is 0.00 Bohr magnetons per cell. The calculation puts the total energy at -15.00 eV per cell.



Below is a geometry-optimized ScBe2Tl structure, with properties calculated at the PBE level.

abc: 3.7859 3.8179 4.8584
angles: 66.83 90.00 90.00
Closest atoms and distances in Å follow each position.
Sites, in units of the cell vectors:
Tl 0.5000 0.7724 0.8314  7 Be 2.64-2.82
Be 0.0000 0.1783 0.0176  2 Be 2.14
Be 0.5000 0.0676 0.2398  2 Be 2.14
Sc 0.0000 0.4817 0.4112  7 Be 2.59-2.80

Output
Its crystal system is orthorhombic. The polymorph energy (0 for the lowest one) comes out at 0.066 eV/atom. The space group is Amm2. For the formation energy, the calculation gives 0.51 eV/f.u. Its size of the total moment is 0.00 Bohr magnetons per cell. The calculation puts the total energy at -15.64 eV per cell.



Below is a geometry-optimized ScBe2Tl structure, with properties calculated at the PBE level.

abc: 3.4191 3.4186 6.0676
angles: 90.00 90.00 90.00
Closest atoms and distances in Å follow each position.
Sites, in units of the cell vectors:
Be 0.0000 0.0000 0.4443  1 Be 2.36
Be 0.0000 0.0000 0.0557  1 Be 2.36
Sc 0.5000 0.5000 0.2500  8 Be 2.69
Tl 0.5000 0.5000 0.7500  2 Sc 3.03, 8 Be 3.05

Output
Its crystal system is tetragonal. The polymorph energy (0 for the lowest one) comes out at 0.307 eV/atom. The space group is P4/mmm. For the formation energy, the calculation gives 1.47 eV/f.u. Its size of the total moment is 0.00 Bohr magnetons per cell. The calculation puts the total energy at -14.68 eV per cell.



Below is a geometry-optimized ZrScBe2Tl structure, with properties calculated at the PBE level.

abc: 4.8255 5.0287 4.8255
angles: 90.00 90.00 90.00
Closest atoms and distances in Å follow each position.
Sites, in units of the cell vectors:
Tl 0.5000 0.5000 0.5000  4 Sc 3.41, 8 Be 3.48
Be 0.5000 0.0000 0.0000  2 Zr 2.41
Be 0.0000 0.0000 0.5000  2 Zr 2.41
Zr 0.0000 0.0000 0.0000  4 Be 2.41, 2 Sc 2.51
Sc 0.0000 0.5000 0.0000  2 Zr 2.51

Output
Its crystal system is tetragonal. The space group is P4/mmm. For the formation energy, the calculation gives 6.10 eV/f.u. Its size of the total moment is 0.09 Bohr magnetons per cell. The calculation puts the total energy at -18.60 eV per cell.



Below is a geometry-optimized TmScBe17 structure, with properties calculated at the PBE level.

abc: 5.7297 5.7297 5.7297
angles: 83.03 83.03 83.03
Closest atoms and distances in Å follow each position.
Sites, in units of the cell vectors:
Be 0.1582 0.6582 0.6582  9 Be 2.20-2.40
Be 0.7148 0.0016 0.2838  7 Be 2.14-2.40
Be 0.8445 0.3395 0.3395  9 Be 2.18-2.40
Be 0.4998 0.0004 0.0004  10 Be 2.15-2.33
Be 0.3395 0.8445 0.3395  9 Be 2.18-2.40
Be 0.0978 0.0978 0.0978  7 Be 2.13-2.33
Be 0.0016 0.7148 0.2838  7 Be 2.14-2.40
Be 0.2838 0.0016 0.7148  7 Be 2.14-2.40
Be 0.0004 0.4998 0.0004  10 Be 2.15-2.33
Be 0.2838 0.7148 0.0016  7 Be 2.14-2.40
Be 0.6582 0.6582 0.1582  9 Be 2.20-2.40
Be 0.9049 0.9049 0.9049  7 Be 2.13-2.36
Be 0.7148 0.2838 0.0016  7 Be 2.14-2.40
Be 0.0004 0.0004 0.4998  10 Be 2.15-2.33
Be 0.3395 0.3395 0.8445  9 Be 2.18-2.40
Be 0.0016 0.2838 0.7148  7 Be 2.14-2.40
Be 0.6582 0.1582 0.6582  9 Be 2.20-2.40
Sc 0.3377 0.3377 0.3377  19 Be 2.65-2.91
Tm 0.6606 0.6606 0.6606  19 Be 2.70-2.91

Output
Its crystal system is trigonal. The space group is R3m. For the formation energy, the calculation gives -3.23 eV/f.u. Its size of the total moment is 0.00 Bohr magnetons per cell. The calculation puts the total energy at -77.37 eV per cell.



Below is a geometry-optimized TmScBeZn structure, with properties calculated at the PBE level.

abc: 4.7510 4.7510 4.7510
angles: 60.00 60.00 60.00
Closest atoms and distances in Å follow each position.
Sites, in units of the cell vectors:
Sc 0.0000 0.0000 0.0000  4 Be 2.91, 4 Zn 2.91
Tm 0.5000 0.5000 0.5000  4 Zn 2.91, 4 Be 2.91
Be 0.2500 0.2500 0.2500  4 Sc 2.91, 4 Tm 2.91
Zn 0.7500 0.7500 0.7500  4 Tm 2.91, 4 Sc 2.91

Output
Its crystal system is cubic. The space group is F-43m. For the formation energy, the calculation gives -0.61 eV/f.u. Its size of the total moment is 0.00 Bohr magnetons per cell. The calculation puts the total energy at -16.41 eV per cell.



Below is a geometry-optimized ScBe3V structure, with properties calculated at the PBE level.

abc: 4.3620 4.3620 4.3620
angles: 90.00 90.00 90.00
Closest atoms and distances in Å follow each position.
Sites, in units of the cell vectors:
V 0.5000 0.5000 0.5000  12 Be 3.08
Sc 0.0000 0.0000 0.0000  6 Be 2.18
Be 0.0000 0.0000 0.5000  2 Sc 2.18
Be 0.5000 0.0000 0.0000  2 Sc 2.18
Be 0.0000 0.5000 0.0000  2 Sc 2.18

Output
Its crystal system is cubic. The polymorph energy (0 for the lowest one) comes out at 1.084 eV/atom. The space group is Pm-3m. For the formation energy, the calculation gives 9.25 eV/f.u. Its size of the total moment is 0.34 Bohr magnetons per cell. The calculation puts the total energy at -17.38 eV per cell.